The following is a DFT calculation (PBE) of crystalline Na3YHo2S6 at its relaxed geometry.

Calculated values
Formation energy from raw total energies   -1.85 eV per atom

a = 6.8819 Å, b = 6.8819 Å, c = 7.0638 Å
α = 99.34°, β = 99.34°, γ = 120.00°
Fractional positions:
S 0.0754 0.4102 0.2262
S 0.2594 0.2594 0.7737
S 0.4102 0.0754 0.2262
S 0.7406 0.7406 0.2263
S 0.9246 0.5898 0.7738
S 0.5898 0.9246 0.7738
Y 0.0000 0.0000 0.0000
Na 0.8335 0.1665 0.5000
Na 0.1665 0.8335 0.5000
Na 0.5000 0.5000 0.5000
Ho 0.6667 0.3333 0.0000
Ho 0.3333 0.6667 0.0000